1.
Sm3PbSeO after structural relaxation. Source: Alexandria via LeMat-Bulk, functional PBE.

POSCAR file:
```
Sm3PbSeO
1.0
4.122 0.000 0.000
0.000 8.994 0.249
0.000 -2.108 8.921
Se Sm O Pb
2 6 2 2
Cartesian
3.091 1.339 7.537
1.030 5.547 1.633
3.091 7.719 1.538
1.030 -0.833 7.632
1.030 6.514 4.520
1.030 3.446 7.632
3.091 3.440 1.538
3.091 0.372 4.650
3.091 7.335 3.852
1.030 -0.449 5.317
1.030 1.114 2.038
3.091 5.772 7.131
```

SG: P2_1/m, No. 11
electronic total energy: -6.11 eV per atom
ΔE_f (raw): -10.36 eV per formula unit
density of states at the Fermi level: 4.5 states/eV/cell

***

2.
Tl2CdIn7 after structural relaxation. Source: Alexandria via LeMat-Bulk, functional PBE.

POSCAR file:
```
Tl2CdIn7
1.0
7.948 0.000 0.000
3.974 6.884 0.000
3.974 2.295 6.490
In Tl Cd
7 2 1
Cartesian
7.948 6.908 4.885
9.957 5.749 1.605
5.940 5.749 1.605
7.948 2.270 1.605
7.948 4.589 3.245
9.957 3.430 4.885
5.940 3.430 4.885
11.923 6.884 4.867
3.974 2.295 1.622
0.000 0.000 0.000
```

SG: Fm-3m, No. 225
electronic total energy: -2.15 eV per atom
energy of formation from the pure elements: 32.1 kJ/mol of atoms
density of states at the Fermi level: 5.6 states/eV/cell

***

3.
NiAsRu after structural relaxation. Source: Alexandria via LeMat-Bulk, functional PBE.

POSCAR file:
```
NiAsRu
1.0
2.890 0.000 0.000
-1.445 2.503 0.000
0.000 0.000 5.747
Ni As Ru
1 1 1
Cartesian
1.445 0.834 1.827
0.000 0.000 0.020
0.000 1.669 3.900
```

SG: P3m1, No. 156
electronic total energy: -6.44 eV per atom
energy above the most stable polymorph in this dataset: 0.310 eV/atom
energy of formation from the pure elements: 12.4 kJ/mol of atoms
density of states at the Fermi level: 3.2 states/eV/cell

***

4.
SmY2Th3Bi6 after structural relaxation. Source: Alexandria via LeMat-Bulk, functional PBE.

POSCAR file:
```
SmY2Th3Bi6
1.0
-1.521 3.890 1.832
2.339 -2.973 8.257
8.951 2.717 -4.015
Bi Y Sm Th
6 2 1 3
Cartesian
6.413 1.835 1.429
3.355 1.799 4.645
2.173 3.234 0.616
9.146 4.351 4.035
0.622 -0.717 2.039
7.595 0.400 5.457
6.260 3.069 4.359
3.509 0.565 1.714
-0.761 1.945 0.916
4.661 -0.931 5.849
5.107 4.565 0.225
0.409 0.459 5.044
```

SG: C2/m, No. 12
electronic total energy: -6.00 eV per atom
energy of formation from the pure elements: -71.1 kJ/mol of atoms
density of states at the Fermi level: 6.6 states/eV/cell

***

5.
Pm6Mg2Ru after structural relaxation. Source: Alexandria via LeMat-Bulk, functional PBE.

POSCAR file:
```
Pm6Mg2Ru
1.0
5.056 0.000 0.783
0.000 6.928 0.000
-1.181 -3.464 7.628
Pm Ru Mg
6 1 2
Cartesian
4.218 1.730 6.188
2.528 5.260 0.392
-0.344 5.194 2.223
2.528 1.668 0.392
4.218 -1.730 6.188
-0.344 1.734 2.223
0.000 0.000 0.000
1.931 0.000 4.246
1.943 3.464 4.165
```

SG: Cmmm, No. 65
electronic total energy: -4.53 eV per atom
energy of formation from the pure elements: 2.4 kJ/mol of atoms
density of states at the Fermi level: 6.9 states/eV/cell

***

6.
AcCd2Pt9 after structural relaxation. Source: Alexandria via LeMat-Bulk, functional PBE.

POSCAR file:
```
AcCd2Pt9
1.0
5.241 0.000 1.560
2.388 4.665 1.560
0.095 0.058 9.264
Pt Cd Ac
9 2 1
Cartesian
3.346 0.422 7.925
4.378 4.301 4.458
3.862 2.362 6.191
5.085 3.109 2.084
4.557 2.786 8.716
3.167 1.937 3.667
2.640 1.614 10.299
5.824 1.937 4.458
1.900 2.786 7.925
1.170 0.715 5.653
6.554 4.008 6.730
0.000 0.000 0.000
```

SG: R-3m, No. 166
electronic total energy: -5.50 eV per atom
energy of formation from the pure elements: -46.0 kJ/mol of atoms
density of states at the Fermi level: 10.2 states/eV/cell

***

7.
CsTlZnF6 after structural relaxation. Source: Alexandria via LeMat-Bulk, functional PBE.

POSCAR file:
```
CsTlZnF6
1.0
-3.817 -5.621 -3.496
6.995 -3.706 -1.678
-1.902 1.921 7.338
F Cs Zn Tl
12 2 2 2
Cartesian
-0.218 -4.244 -1.289
4.543 -2.965 3.433
-1.610 -2.000 0.250
0.134 -0.629 4.490
1.493 -3.162 3.454
1.142 -6.778 -2.326
-1.524 -3.069 2.972
2.886 -5.406 1.915
-3.844 -3.518 1.503
5.119 -3.888 0.661
2.799 -4.337 -0.808
-3.268 -4.441 -1.268
1.692 -1.423 0.440
-0.416 -5.983 1.724
-0.951 0.961 3.669
-2.860 -1.850 1.921
1.589 -4.664 -2.587
-1.909 -2.810 -1.748
```

SG: Imma, No. 74
electronic total energy: -4.00 eV per atom
ΔE_f (raw): -20.30 eV per formula unit
density of states at the Fermi level: 0.0 states/eV/cell

***

8.
Li2TlRh after structural relaxation. Source: Alexandria via LeMat-Bulk, functional PBE.

POSCAR file:
```
Li2TlRh
1.0
-2.615 2.198 1.841
-2.867 -1.994 -1.691
-2.770 -6.013 7.336
Rh Li Tl
2 4 2
Cartesian
-2.741 0.102 0.075
-4.189 -3.953 2.860
-2.603 -0.448 2.716
-2.893 -2.406 1.065
-4.223 -4.496 5.505
-6.785 -4.269 5.686
0.000 0.000 0.000
-4.063 -1.856 4.626
```

SG: I-42d, No. 122
electronic total energy: -3.41 eV per atom
energy of formation from the pure elements: -2.4 kJ/mol of atoms
density of states at the Fermi level: 3.2 states/eV/cell

***

9.
Pr2CdSb3Pt4 after structural relaxation. Source: Alexandria via LeMat-Bulk, functional PBE.

POSCAR file:
```
Pr2CdSb3Pt4
1.0
-1.841 -1.012 -4.017
3.407 -2.870 -0.839
-5.746 -8.195 4.698
Pr Sb Cd Pt
2 3 1 4
Cartesian
-2.688 -7.698 3.171
-2.275 -2.438 -0.901
-5.915 -7.629 2.075
0.952 -2.507 0.195
-2.873 -4.098 2.349
-2.090 -6.038 -0.079
0.000 0.000 0.000
-0.381 -4.408 1.285
-4.582 -5.727 0.985
0.783 -1.941 -2.428
```

SG: P-4m2, No. 115
electronic total energy: -5.51 eV per atom
ΔE_f (raw): -8.10 eV per formula unit
density of states at the Fermi level: 4.2 states/eV/cell

***

10.
NaPm2SnSe4 after structural relaxation. Source: Alexandria via LeMat-Bulk, functional PBE.

POSCAR file:
```
NaPm2SnSe4
1.0
8.504 0.022 0.083
0.016 8.504 0.083
-4.349 -4.352 5.942
Se Pm Sn Na
8 4 2 2
Cartesian
2.010 -2.217 6.003
4.201 -0.057 3.032
-0.029 4.231 3.076
-2.172 -2.213 5.947
6.343 6.387 0.162
2.161 6.391 0.105
4.222 4.266 3.059
-0.051 -0.092 3.050
2.078 -2.165 3.013
-2.174 -2.176 2.971
4.260 4.263 0.083
4.252 0.011 0.042
6.338 2.098 3.096
0.008 4.252 0.042
2.085 2.087 3.054
4.155 -4.330 6.025
```

SG: Imma, No. 74
electronic total energy: -4.96 eV per atom
ΔE_f (raw): -10.91 eV per formula unit
density of states at the Fermi level: 6.8 states/eV/cell

***

11.
TaV6Os5 after structural relaxation. Source: Alexandria via LeMat-Bulk, functional PBE.

POSCAR file:
```
TaV6Os5
1.0
-1.846 -3.724 -1.096
5.386 -2.785 0.390
-0.188 0.587 6.778
Os Ta V
5 1 6
Cartesian
1.953 -2.242 4.343
1.399 -3.680 1.729
4.649 -3.632 4.527
2.693 -1.393 0.195
-1.296 -2.290 1.545
0.000 0.000 0.000
2.380 -4.804 3.901
-0.322 -3.407 3.705
3.108 -3.946 -0.256
0.245 -1.976 6.328
3.674 -2.515 2.367
0.973 -1.118 2.172
```

SG: P2/m, No. 10
electronic total energy: -10.49 eV per atom
energy of formation from the pure elements: -25.9 kJ/mol of atoms
density of states at the Fermi level: 10.2 states/eV/cell

***

12.
CeUTcRu after structural relaxation. Source: Alexandria via LeMat-Bulk, functional PBE.

POSCAR file:
```
CeUTcRu
1.0
-3.666 2.827 1.353
-4.244 -0.301 -2.273
-3.813 -1.909 2.254
U Ce Tc Ru
1 1 1 1
Cartesian
0.000 0.000 0.000
-5.861 0.309 0.667
-2.931 0.154 0.333
-8.792 0.463 1.000
```

SG: F-43m, No. 216
electronic total energy: -9.27 eV per atom
energy of formation from the pure elements: -4.9 kJ/mol of atoms
density of states at the Fermi level: 8.0 states/eV/cell

***

13.
LaY after structural relaxation. Source: Alexandria via LeMat-Bulk, functional PBE.

POSCAR file:
```
LaY
1.0
5.173 0.000 0.000
-2.587 5.804 -0.008
0.000 2.312 4.628
Y La
2 2
Cartesian
0.000 3.480 1.153
2.587 1.156 2.314
0.000 0.000 0.000
2.587 4.636 3.467
```

SG: I4_1/amd, No. 141
electronic total energy: -5.66 eV per atom
energy above the most stable polymorph in this dataset: 0.032 eV/atom
energy of formation from the pure elements: 3.5 kJ/mol of atoms
density of states at the Fermi level: 7.6 states/eV/cell

***

14.
Zr2PtI after structural relaxation. Source: Alexandria via LeMat-Bulk, functional PBE.

POSCAR file:
```
Zr2PtI
1.0
-2.432 3.604 -4.443
-5.634 -0.672 2.539
-2.989 6.754 2.765
Zr I Pt
4 2 2
Cartesian
-4.963 6.201 1.223
-9.602 7.594 0.544
-3.102 4.051 -2.007
-4.441 1.525 1.962
-6.328 3.774 2.176
-4.033 1.466 -0.952
0.000 0.000 0.000
-4.727 5.912 -1.315
```

SG: I-42d, No. 122
electronic total energy: -6.15 eV per atom
energy above the most stable polymorph in this dataset: 0.334 eV/atom
ΔE_f (raw): 0.10 eV per formula unit
density of states at the Fermi level: 3.9 states/eV/cell

***

15.
LaTl2BiS4 after structural relaxation. Source: Alexandria via LeMat-Bulk, functional PBE.

POSCAR file:
```
LaTl2BiS4
1.0
-0.690 1.336 -3.944
-2.499 -6.612 -1.803
-6.054 4.301 2.516
S Tl Bi La
4 2 1 1
Cartesian
-2.188 0.018 -1.870
-3.096 -3.994 -0.811
-7.055 -0.994 -1.361
-5.457 1.682 1.524
-3.372 2.818 -0.714
-4.276 -1.156 0.357
0.000 0.000 0.000
-1.594 -2.638 -2.873
```

SG: P2/m, No. 10
electronic total energy: -4.73 eV per atom
ΔE_f (raw): -7.77 eV per formula unit

***

16.
KAuBr after structural relaxation. Source: Alexandria via LeMat-Bulk, functional PBE.

POSCAR file:
```
KAuBr
1.0
5.248 0.000 0.000
2.624 4.545 0.000
2.624 1.515 4.285
Br Au K
1 1 1
Cartesian
7.872 4.545 3.214
5.248 3.030 2.143
0.000 0.000 0.000
```

SG: F-43m, No. 216
electronic total energy: -2.41 eV per atom
energy above the most stable polymorph in this dataset: 0.227 eV/atom
ΔE_f (raw): -1.20 eV per formula unit
density of states at the Fermi level: 1.9 states/eV/cell

***

17.
TbErHgPt after structural relaxation. Source: Alexandria via LeMat-Bulk, functional PBE.

POSCAR file:
```
TbErHgPt
1.0
5.082 0.000 0.000
2.541 4.401 0.000
2.541 1.467 4.150
Tb Hg Er Pt
1 1 1 1
Cartesian
0.000 0.000 0.000
2.541 1.467 1.037
5.082 2.934 2.075
7.623 4.401 3.112
```

SG: F-43m, No. 216
electronic total energy: -4.71 eV per atom
energy above the most stable polymorph in this dataset: 0.048 eV/atom
energy of formation from the pure elements: -79.4 kJ/mol of atoms
density of states at the Fermi level: 2.5 states/eV/cell

***

18.
Sc6HPd2 after structural relaxation. Source: Alexandria via LeMat-Bulk, functional PBE.

POSCAR file:
```
Sc6HPd2
1.0
-2.708 1.884 5.085
1.913 -5.380 3.012
7.540 4.108 2.547
H Sc Pd
2 12 4
Cartesian
3.770 2.054 1.274
-0.398 -1.748 4.048
-1.111 0.515 4.192
1.601 1.145 1.253
7.241 2.574 4.285
4.260 0.933 3.312
4.911 1.626 6.478
1.887 2.107 5.193
2.485 -0.321 7.333
1.833 -1.014 4.167
5.144 -0.533 9.391
7.856 0.097 6.452
-0.496 -1.961 6.359
4.858 -1.494 5.451
6.675 -0.024 3.914
2.154 -2.831 6.132
0.070 0.636 6.730
4.591 3.443 4.513
```

SG: P2_1/c, No. 14
electronic total energy: -6.23 eV per atom
density of states at the Fermi level: 21.8 states/eV/cell

***

19.
LiPm4Zn3 after structural relaxation. Source: Alexandria via LeMat-Bulk, functional PBE.

POSCAR file:
```
LiPm4Zn3
1.0
4.990 0.000 1.473
2.278 4.440 1.473
0.052 0.032 9.012
Pm Zn Li
4 3 1
Cartesian
0.957 0.585 5.948
4.530 2.768 3.031
2.790 1.704 8.927
6.363 3.887 6.011
1.858 1.135 2.894
3.660 2.236 5.979
5.462 3.337 9.065
0.000 0.000 0.000
```

SG: R-3m, No. 166
electronic total energy: -3.32 eV per atom
energy of formation from the pure elements: -22.2 kJ/mol of atoms
density of states at the Fermi level: 8.2 states/eV/cell

***

20.
SnBi2Pb3 after structural relaxation. Source: Alexandria via LeMat-Bulk, functional PBE.

POSCAR file:
```
SnBi2Pb3
1.0
4.825 0.000 0.000
2.412 8.837 0.534
2.412 2.652 10.103
Pb Sn Bi
6 2 4
Cartesian
2.412 2.675 3.691
7.237 9.957 10.142
7.237 8.313 2.335
7.237 8.814 6.946
2.412 3.176 8.302
2.412 1.532 0.495
4.825 6.060 7.231
4.825 5.429 3.406
4.825 3.306 5.715
2.412 5.138 1.397
7.237 6.351 9.240
4.825 8.183 4.922
```

SG: C2/m, No. 12
electronic total energy: -3.75 eV per atom
energy above the most stable polymorph in this dataset: 0.015 eV/atom
energy of formation from the pure elements: 6.6 kJ/mol of atoms
density of states at the Fermi level: 4.1 states/eV/cell